ThGe2IrRh5: relaxed, PBE-GGA.

The structure in CIF format:
```
data_ThGe2IrRh5
_cell_length_a 3.9374
_cell_length_b 3.9374
_cell_length_c 11.2822
_cell_angle_alpha 90.00
_cell_angle_beta 90.00
_cell_angle_gamma 90.00
_symmetry_space_group_name_H-M 'P 4/m m m'
_symmetry_Int_Tables_number 123
_symmetry_space_group_name_Hall '-P 4 2'
loop_
_atom_site_label
_atom_site_fract_x
_atom_site_fract_y
_atom_site_fract_z
Th1 0.0000 0.0000 0.0000
Ge1 0.5000 0.5000 0.2151
Ir1 0.5000 0.5000 0.5000
Rh1 0.0000 0.5000 0.3526
Rh2 0.5000 0.5000 0.0000
```

The formation energy comes out at -65 kJ/mol of formula units.

=====

SrAg4: relaxed, PBE-GGA.

The structure in CIF format:
```
data_SrAg4
_cell_length_a 9.8322
_cell_length_b 9.8322
_cell_length_c 9.8322
_cell_angle_alpha 90.00
_cell_angle_beta 90.00
_cell_angle_gamma 90.00
_symmetry_space_group_name_H-M 'I -4 3 m'
_symmetry_Int_Tables_number 217
_symmetry_space_group_name_Hall 'I -4 2 3'
loop_
_atom_site_label
_atom_site_fract_x
_atom_site_fract_y
_atom_site_fract_z
Sr1 0.2157 0.2157 0.7843
Ag1 0.0000 0.0000 0.3544
Ag2 0.0000 0.2500 0.5000
Ag3 0.1027 0.1027 0.1027
```

The formation energy comes out at -61 kJ/mol of formula units.

=====

K2YCr: relaxed, PBE-GGA.

The structure in CIF format:
```
data_K2YCr
_cell_length_a 3.5827
_cell_length_b 6.7727
_cell_length_c 5.9926
_cell_angle_alpha 90.00
_cell_angle_beta 93.02
_cell_angle_gamma 90.00
_symmetry_space_group_name_H-M 'P 1 2/m 1'
_symmetry_Int_Tables_number 10
loop_
_symmetry_equiv_pos_as_xyz
'x,y,z'
'-x,-y,-z'
'-x,y,-z'
'x,-y,z'
loop_
_atom_site_label
_atom_site_fract_x
_atom_site_fract_y
_atom_site_fract_z
K1 0.2330 0.0000 0.2624
Y1 0.5000 0.5000 0.0000
Cr1 0.0000 0.5000 0.5000
```

The formation energy comes out at 330 kJ/mol of formula units. As for the energy relative to the lowest polymorph listed for this composition: 0.2851 eV per atom.

=====

EuCdO3: relaxed, PBE-GGA.

The structure in CIF format:
```
data_EuCdO3
_cell_length_a 4.1672
_cell_length_b 4.1672
_cell_length_c 4.1672
_cell_angle_alpha 90.00
_cell_angle_beta 90.00
_cell_angle_gamma 90.00
_symmetry_space_group_name_H-M 'P m -3 m'
_symmetry_Int_Tables_number 221
_symmetry_space_group_name_Hall '-P 4 2 3'
loop_
_atom_site_label
_atom_site_fract_x
_atom_site_fract_y
_atom_site_fract_z
Eu1 0.0000 0.0000 0.0000
Cd1 0.5000 0.5000 0.5000
O1 0.0000 0.5000 0.5000
```

=====

no.,size of the total moment (Bohr magnetons per cell),electronic total energy (eV per atom)
1,0.00,-6.99
2,0.00,-2.74
3,4.47,-3.72
4,6.29,-6.48